[1]
# SmDyNiHg | Alexandria | GGA-PBE | relaxed
data_SmDyNiHg
_chemical_formula_sum 'Sm4 Dy4 Ni4 Hg4'
_space_group_name_H-M_alt 'F -4 3 m'
_space_group_IT_number 216
_space_group_name_Hall 'F -4 2 3'
_cell_length_a 7.2145
_cell_length_b 7.2145
_cell_length_c 7.2145
_cell_angle_alpha 90.00
_cell_angle_beta 90.00
_cell_angle_gamma 90.00
loop_
_atom_site_label
_atom_site_type_symbol
_atom_site_fract_x
_atom_site_fract_y
_atom_site_fract_z
Sm1 Sm 0.0000 0.0000 0.0000
Dy1 Dy 0.0000 0.0000 0.5000
Ni1 Ni 0.2500 0.2500 0.2500
Hg1 Hg 0.2500 0.2500 0.7500
# energy relative to the elements	-0.3299	eV/atom
# ρ	10.1	g cm⁻³
# magnetic moment	0.0	μB per formula unit
# calculated total energy	-66.9	eV for the cell shown


[2]
# DyThNiHg | Alexandria | GGA-PBE | relaxed
data_DyThNiHg
_chemical_formula_sum 'Dy4 Th4 Ni4 Hg4'
_space_group_name_H-M_alt 'F -4 3 m'
_space_group_IT_number 216
_space_group_name_Hall 'F -4 2 3'
_cell_length_a 7.2779
_cell_length_b 7.2779
_cell_length_c 7.2779
_cell_angle_alpha 90.00
_cell_angle_beta 90.00
_cell_angle_gamma 90.00
loop_
_atom_site_label
_atom_site_type_symbol
_atom_site_fract_x
_atom_site_fract_y
_atom_site_fract_z
Dy1 Dy 0.0000 0.0000 0.0000
Th1 Th 0.0000 0.0000 0.5000
Ni1 Ni 0.2500 0.2500 0.7500
Hg1 Hg 0.2500 0.2500 0.2500
# energy relative to the elements	-0.2216	eV/atom
# ρ	11.3	g cm⁻³
# magnetic moment	0.0	μB per formula unit
# calculated total energy	-76.0	eV for the cell shown